Record 1
Cs2PuInBr6 | PBE | optimized geometry

Cell and atoms, written as extended XYZ:
```
20
Lattice="8.241 0.000 -0.008 0.000 8.691 0.000 0.061 0.000 11.920" Properties=species:S:1:pos:R:3 pbc="T T T"
Cs 0.181 8.144 2.973
Cs 4.332 4.892 8.929
Cs 8.121 0.547 8.939
Cs 3.970 3.799 2.983
Pu 4.151 0.000 5.956
Pu 0.000 4.345 0.000
In 4.120 0.000 -0.004
In 0.031 4.345 5.960
Br 2.322 5.989 0.501
Br 6.473 7.047 6.457
Br 5.980 2.702 11.411
Br 1.829 1.644 5.455
Br 2.636 6.275 5.468
Br 6.787 6.761 11.424
Br 5.666 2.416 6.444
Br 1.515 1.929 0.488
Br 7.588 4.545 2.791
Br 3.499 8.491 8.756
Br 0.714 4.146 9.121
Br 4.803 0.200 3.156
```

## Properties
Energy relative to the elements, uncorrected = -1.500 eV per atom
Final energy = -4.381 eV per atom

***

Record 2
Tb7YMg4 | PBE | optimized geometry

Cell and atoms, written as extended XYZ:
```
12
Lattice="-4.951 0.158 -2.910 -6.666 -2.753 5.522 -4.568 6.212 2.439" Properties=species:S:1:pos:R:3 pbc="T T T"
Tb -12.207 0.980 3.810
Tb -3.979 2.637 1.242
Tb -5.440 0.076 3.589
Tb -10.745 3.542 1.462
Tb -9.570 2.969 5.103
Tb -2.475 0.079 -1.455
Tb -6.615 0.649 -0.052
Y 0.000 0.000 0.000
Mg -7.503 3.078 1.591
Mg -8.682 0.539 3.460
Mg -12.254 4.488 4.081
Mg -3.931 -0.870 0.970
```

## Properties
ΔE_f = 193 kJ/mol of formula units
Final energy = -3.605 eV per atom

***

Record 3
La4Sm2Y3 | PBE | optimized geometry

Cell and atoms, written as extended XYZ:
```
9
Lattice="-1.567 4.901 0.784 -7.306 -2.723 2.416 5.409 -1.965 5.814" Properties=species:S:1:pos:R:3 pbc="T T T"
La -2.697 1.601 1.877
La -3.092 0.903 5.450
La -0.767 -1.387 7.137
La -0.372 -0.689 3.564
Sm -4.224 -2.398 6.545
Sm 0.760 2.612 2.469
Y 0.400 1.930 6.008
Y -3.864 -1.716 3.006
Y 0.000 0.000 0.000
```

## Properties
Polymorph energy (0 for the lowest one) = 0 meV/atom
ΔE_f = 20 kJ/mol of formula units
Final energy = -5.370 eV per atom

***

Record 4
CrInSb2I | PBE | optimized geometry

Cell and atoms, written as extended XYZ:
```
5
Lattice="5.581 0.000 0.000 0.000 5.779 0.000 0.000 0.000 5.581" Properties=species:S:1:pos:R:3 pbc="T T T"
I 0.000 2.890 0.000
Sb 0.000 0.000 2.790
Sb 2.790 0.000 0.000
Cr 2.790 2.890 2.790
In 0.000 0.000 0.000
```

## Properties
Polymorph energy (0 for the lowest one) = 1227 meV/atom
Energy relative to the elements, uncorrected = 1.484 eV per atom
Final energy = -2.948 eV per atom

***

Record 5
SrTc2Ag | PBE | optimized geometry

Cell and atoms, written as extended XYZ:
```
4
Lattice="5.303 0.000 0.000 0.000 2.880 0.000 0.000 0.550 5.155" Properties=species:S:1:pos:R:3 pbc="T T T"
Ag 2.651 0.857 1.289
Sr 2.651 2.572 3.867
Tc 0.000 0.847 5.038
Tc 0.000 1.418 2.695
```

## Properties
Polymorph energy (0 for the lowest one) = 474 meV/atom
ΔE_f = 315 kJ/mol of formula units
Final energy = -5.500 eV per atom

***

Record 6
ErU6S8 | PBE | optimized geometry

Cell and atoms, written as extended XYZ:
```
15
Lattice="-4.288 -5.606 -1.728 2.852 -3.934 -5.402 2.733 -6.267 2.461" Properties=species:S:1:pos:R:3 pbc="T T T"
Er 0.000 0.000 0.000
U 1.089 -9.967 -0.300
U 2.787 -8.681 -4.183
U -1.592 -9.173 -3.735
U 0.209 -5.840 -4.369
U -1.489 -7.126 -0.486
U 2.889 -6.634 -0.934
S 0.868 -10.567 -3.122
S 0.430 -5.240 -1.548
S 0.358 -8.328 -5.540
S -1.604 -9.828 -1.008
S 3.496 -9.250 -1.548
S 0.940 -7.479 0.870
S 2.901 -5.979 -3.662
S -2.198 -6.557 -3.121
```

## Properties
Polymorph energy (0 for the lowest one) = 191 meV/atom
Energy relative to the elements, uncorrected = -1.277 eV per atom
Final energy = -8.298 eV per atom

***

Record 7
LiCeP2O8 | PBE | optimized geometry

Cell and atoms, written as extended XYZ:
```
12
Lattice="-3.483 3.777 -0.387 -0.483 -4.253 -2.869 -3.609 -2.835 4.809" Properties=species:S:1:pos:R:3 pbc="T T T"
Li -1.804 -1.417 2.404
Ce 0.000 0.000 0.000
P -3.234 0.511 -0.213
P -4.340 -3.820 1.766
O -1.572 -1.647 -1.922
O -2.275 -0.240 0.737
O -3.991 1.622 0.547
O -6.001 -1.663 3.475
O -3.583 -4.932 1.006
O -5.299 -3.070 0.816
O -3.345 -2.836 2.420
O -4.229 -0.473 -0.867
```

## Properties
Energy relative to the elements, uncorrected = -2.340 eV per atom
Final energy = -7.201 eV per atom

***

Record 8
Sr2MgHg6 | PBE | optimized geometry

Cell and atoms, written as extended XYZ:
```
9
Lattice="6.351 -0.030 -0.017 0.034 6.705 0.008 0.034 3.348 5.809" Properties=species:S:1:pos:R:3 pbc="T T T"
Sr 5.349 6.676 3.864
Sr 1.071 3.347 1.937
Mg 0.000 0.000 0.000
Hg 2.058 5.115 4.781
Hg 2.072 8.265 4.783
Hg 2.058 6.694 2.053
Hg 4.361 4.907 1.019
Hg 4.347 1.758 1.017
Hg 4.361 3.329 3.747
```

## Properties
ΔE_f = -328 kJ/mol of formula units
Final energy = -1.129 eV per atom

***

Number 1: N(E_F) 1.09 states/eV per atom. Number 2: N(E_F) 1.23 states/eV per atom. Number 3: N(E_F) 1.74 states/eV per atom. Number 4: N(E_F) 1.48 states/eV per atom. Number 5: N(E_F) 0.86 states/eV per atom. Number 6: N(E_F) 2.22 states/eV per atom. Number 7: N(E_F) 0.55 states/eV per atom. Number 8: N(E_F) 0.53 states/eV per atom.